Entry from Alexandria: a geometry-optimized KCo2O4 structure (GGA+U).

Lattice parameters (Å, degrees): 9.282 6.851 7.438 90.00 128.36 90.00
Space group C2 (No. 5)
Inequivalent atoms, fractional coordinates:
K1 0.000 0.000 0.000
K2 0.000 0.245 0.500
Co1 0.002 0.589 0.804
Co2 0.200 0.838 0.702
O1 0.033 0.840 0.347
O2 0.081 0.338 0.253
O3 0.170 0.580 0.758
O4 0.182 0.599 0.151

**Energy above the lowest structure with this stoichiometry**: 265 meV per atom